Computed, not measured: a crystal of ZnSbPb2 relaxed with PBEsol at the meta-GGA SCAN level of DFT.

Cell lengths 5.9194, 5.9194, 5.9194 Å; angles 140.67, 127.15, 67.83 degrees
Closest atoms and distances in Å follow each position.
Fractional positions:
Zn 0.0000 0.0000 0.0000  2 Sb 2.78, 2 Pb 3.06
Sb 0.8020 0.3020 0.5000  2 Zn 2.78
Pb 0.2359 0.7359 0.5000  2 Zn 3.06, 4 Sb 3.37, 4 Pb 3.39-3.41
Pb 0.5181 0.5181 0.0000  4 Zn 3.31, 4 Sb 3.38-3.43, 4 Pb 3.39-3.41

The value obtained for the mass density is 9.688 g/cm3. Its uncorrected formation energy is 0.1559 eV/atom. The distance to the lowest polymorph of the same formula is 6 meV per atom.



Computed, not measured: a crystal of Ti5Mn3O16 relaxed with PBEsol at the meta-GGA SCAN level of DFT.

Cell lengths 5.7545, 5.7545, 8.9514 Å; angles 91.29, 91.29, 60.21 degrees
Closest atoms and distances in Å follow each position.
Fractional positions:
Ti 0.0000 0.0000 0.0000  6 O 1.90-2.02
Ti 0.1683 0.6630 0.5009  6 O 1.91-1.99
Ti 0.1709 0.1709 0.7250  6 O 1.88-2.03
Ti 0.5100 0.5100 0.2222  6 O 1.91-2.08
Ti 0.6630 0.1683 0.5009  6 O 1.91-1.99
Mn 0.0059 0.4967 0.0057  6 O 1.86-1.94
Mn 0.4967 0.0059 0.0057  6 O 1.86-1.94
Mn 0.6643 0.6643 0.5066  6 O 1.87-1.95
O 0.0029 0.5005 0.6166  2 Ti 1.92-1.96, 1 Mn 1.95
O 0.0069 0.0069 0.6158  3 Ti 1.88-1.99
O 0.1744 0.6686 0.1157  2 Ti 1.92-1.96, 1 Mn 1.94
O 0.1767 0.1767 0.1151  2 Mn 1.89, 1 Ti 2.02
O 0.3158 0.3158 0.8885  2 Mn 1.89, 1 Ti 2.03
O 0.3207 0.8791 0.8799  1 Mn 1.86, 2 Ti 1.96-2.02
O 0.3561 0.3561 0.3744  3 Ti 1.91-2.08
O 0.3636 0.7944 0.3812  1 Mn 1.87, 2 Ti 1.98-2.00
O 0.5005 0.0029 0.6166  2 Ti 1.92-1.96, 1 Mn 1.95
O 0.5066 0.5066 0.6171  1 Mn 1.88, 2 Ti 1.97
O 0.6686 0.1744 0.1157  2 Ti 1.92-1.96, 1 Mn 1.94
O 0.6723 0.6723 0.1130  1 Ti 1.91, 2 Mn 1.93
O 0.7944 0.3636 0.3812  1 Mn 1.87, 2 Ti 1.98-2.00
O 0.8279 0.8279 0.3993  1 Mn 1.91, 2 Ti 1.92
O 0.8284 0.8284 0.9009  1 Ti 1.90, 2 Mn 1.91
O 0.8791 0.3207 0.8799  1 Mn 1.86, 2 Ti 1.96-2.02

The value obtained for the mass density is 4.263 g/cm3. Its uncorrected formation energy is -2.7720 eV/atom.



Computed, not measured: a crystal of RbNb2PdN relaxed with PBEsol at the meta-GGA SCAN level of DFT.

Cell lengths 5.2526, 5.2526, 3.8171 Å; angles 90.00, 90.00, 90.00 degrees
Closest atoms and distances in Å follow each position.
Fractional positions:
Rb 0.0000 0.0000 0.0000  8 Nb 3.25
Nb 0.0000 0.5000 0.5000  2 Pd 2.63
Nb 0.5000 0.0000 0.5000  2 Pd 2.63
Pd 0.5000 0.5000 0.5000  2 N 1.91
N 0.5000 0.5000 0.0000  2 Pd 1.91

The value obtained for the mass density is 6.176 g/cm3. Its uncorrected formation energy is 1.8460 eV/atom.



Computed, not measured: a crystal of ReGeSb3 relaxed with PBEsol at the meta-GGA SCAN level of DFT.

Cell lengths 5.0970, 5.0970, 5.0970 Å; angles 90.00, 90.00, 90.00 degrees
Closest atoms and distances in Å follow each position.
Fractional positions:
Re 0.0000 0.0000 0.0000  12 Sb 3.60
Ge 0.5000 0.5000 0.5000  6 Sb 2.55
Sb 0.0000 0.5000 0.5000  2 Ge 2.55
Sb 0.5000 0.0000 0.5000  2 Ge 2.55
Sb 0.5000 0.5000 0.0000  2 Ge 2.55

The value obtained for the mass density is 7.826 g/cm3. Its uncorrected formation energy is 1.7387 eV/atom. The distance to the lowest polymorph of the same formula is 879 meV per atom.



Values of total energy, in order: -50.429; -12.548; -23.967; -38.655, all in eV/atom.
Values of volume, in order: 103.1; 257.2; 105.3; 132.4, all in Å³/cell.